Entry 1:
Material: Sm4PuS6
Method: DFT, PBE
State: relaxed

## Properties
Size of the total moment in μB per formula unit: 5.50
DFT total energy in Ha/atom: -0.2656
Formation energy without anion corrections in kJ/mol of atoms: -188.82

Geometry as CIF:
```
data_Sm4PuS6
_symmetry_space_group_name_H-M 'C m c m'
_symmetry_Int_Tables_number 63
_symmetry_space_group_name_Hall '-C 2c 2'
_cell_length_a 3.953
_cell_length_b 13.228
_cell_length_c 20.103
_cell_angle_alpha 90.00
_cell_angle_beta 90.00
_cell_angle_gamma 90.00
loop_
_atom_site_label
_atom_site_type_symbol
_atom_site_fract_x
_atom_site_fract_y
_atom_site_fract_z
Sm1 Sm 0.000 0.092 0.131
Sm2 Sm 0.000 0.361 0.042
Pu1 Pu 0.000 0.155 0.750
S1 S 0.000 0.000 0.000
S2 S 0.000 0.195 0.250
S3 S 0.000 0.271 0.589
S4 S 0.000 0.452 0.169
```

---

Entry 2:
Material: Sm3PuS4
Method: DFT, PBE
State: relaxed

## Properties
Size of the total moment in μB per formula unit: 6.08
DFT total energy in Ha/atom: -0.2793
Formation energy without anion corrections in kJ/mol of atoms: -190.60

Geometry as CIF:
```
data_Sm3PuS4
_symmetry_space_group_name_H-M 'P m -3 m'
_symmetry_Int_Tables_number 221
_symmetry_space_group_name_Hall '-P 4 2 3'
_cell_length_a 5.654
_cell_length_b 5.654
_cell_length_c 5.654
_cell_angle_alpha 90.00
_cell_angle_beta 90.00
_cell_angle_gamma 90.00
loop_
_atom_site_label
_atom_site_type_symbol
_atom_site_fract_x
_atom_site_fract_y
_atom_site_fract_z
Sm1 Sm 0.000 0.000 0.500
Pu1 Pu 0.500 0.500 0.500
S1 S 0.000 0.000 0.000
S2 S 0.000 0.500 0.500
```

---

Entry 3:
Material: Sm5Pu3S8
Method: DFT, PBE
State: relaxed

## Properties
Size of the total moment in μB per formula unit: 16.97
DFT total energy in Ha/atom: -0.3004
Formation energy without anion corrections in kJ/mol of atoms: -187.97

Geometry as CIF:
```
data_Sm5Pu3S8
_symmetry_space_group_name_H-M 'R -3 m'
_symmetry_Int_Tables_number 166
_symmetry_space_group_name_Hall '-R 3 2"'
_cell_length_a 7.9623
_cell_length_b 7.9623
_cell_length_c 19.6136
_cell_angle_alpha 90.00
_cell_angle_beta 90.00
_cell_angle_gamma 120.00
loop_
_atom_site_label
_atom_site_type_symbol
_atom_site_fract_x
_atom_site_fract_y
_atom_site_fract_z
Sm1 Sm 0.0000 0.0000 0.0000
Sm2 Sm 0.0000 0.0000 0.5000
Sm3 Sm 0.0000 0.5000 0.0000
Pu1 Pu 0.0000 0.5000 0.5000
S1 S 0.0000 0.0000 0.2480
S2 S 0.0024 0.5012 0.7511
```

---

Entry 4:
Material: SmPu5S6
Method: DFT, PBE
State: relaxed

## Properties
Size of the total moment in μB per formula unit: 28.28
DFT total energy in Ha/atom: -0.3763
Formation energy without anion corrections in kJ/mol of atoms: -174.72

Geometry as CIF:
```
data_SmPu5S6
_symmetry_space_group_name_H-M 'C 1 2/m 1'
_symmetry_Int_Tables_number 12
_symmetry_space_group_name_Hall '-C 2y'
_cell_length_a 6.881
_cell_length_b 11.906
_cell_length_c 6.877
_cell_angle_alpha 90.00
_cell_angle_beta 109.45
_cell_angle_gamma 90.00
loop_
_atom_site_label
_atom_site_type_symbol
_atom_site_fract_x
_atom_site_fract_y
_atom_site_fract_z
Sm1 Sm 0.000 0.000 0.000
Pu1 Pu 0.000 0.165 0.500
Pu2 Pu 0.000 0.333 0.000
Pu3 Pu 0.000 0.500 0.500
S1 S 0.247 0.331 0.747
S2 S 0.247 0.500 0.252
```